Entry 1:
{"formula": "Co2WCl", "functional": "SCAN", "state": "PBEsol geometry", "lattice": [[2.843, 0.000, 0.000], [0.000, 2.843, 0.000], [0.000, 0.000, 6.339]], "species": ["Co", "Co", "W", "Cl"], "fractional_positions": [[0.000, 0.000, 0.000], [0.500, 0.500, 0.218], [0.000, 0.000, 0.456], [0.500, 0.500, 0.729]], "density_g_cm3": 10.9, "sg": "P4mm, No. 99", "e_above_lowest_polymorph_mev_per_atom": 0, "formation_energy_uncorrected_ev_per_atom": 0.525, "dos_ef_per_ev_fu": 2.1}


Entry 2:
{"formula": "SiBiTe2", "functional": "SCAN", "state": "PBEsol geometry", "lattice": [[0.000, 3.715, 3.715], [3.715, 0.000, 3.715], [3.715, 3.715, 0.000]], "species": ["Si", "Bi", "Te", "Te"], "fractional_positions": [[0.000, 0.000, 0.000], [0.500, 0.500, 0.500], [0.250, 0.250, 0.250], [0.750, 0.750, 0.750]], "density_g_cm3": 8.0, "sg": "Fm-3m, No. 225", "e_above_lowest_polymorph_mev_per_atom": 290, "formation_energy_uncorrected_ev_per_atom": 0.482, "dos_ef_per_ev_fu": 2.0}


Entry 3:
{"formula": "BeInNi2Sn", "functional": "SCAN", "state": "PBEsol geometry", "lattice": [[4.635, 0.000, 0.000], [0.000, 4.635, 0.000], [0.000, 0.000, 5.329]], "species": ["Be", "In", "Ni", "Ni", "Sn"], "fractional_positions": [[0.000, 0.000, 0.000], [0.500, 0.500, 0.000], [0.000, 0.500, 0.500], [0.500, 0.000, 0.500], [0.500, 0.500, 0.500]], "density_g_cm3": 5.2, "sg": "P4/mmm, No. 123", "ef_ev_per_atom": 1.39, "dos_ef_per_ev_fu": 2.7}


Entry 4:
{"formula": "ZrAu2Br", "functional": "SCAN", "state": "PBEsol geometry", "lattice": [[3.235, 0.000, 0.000], [0.000, 3.235, 0.000], [0.000, 0.000, 7.665]], "species": ["Zr", "Au", "Au", "Br"], "fractional_positions": [[0.000, 0.000, 0.000], [0.500, 0.500, 0.233], [0.500, 0.500, 0.767], [0.000, 0.000, 0.500]], "density_g_cm3": 11.7, "sg": "P4/mmm, No. 123", "e_above_lowest_polymorph_mev_per_atom": 66, "formation_energy_uncorrected_ev_per_atom": -0.413, "dos_ef_per_ev_fu": 2.0}


Entry 5:
{"formula": "KZn2In2", "functional": "SCAN", "state": "PBEsol geometry", "lattice": [[-2.259, 2.259, 5.862], [2.259, -2.259, 5.862], [2.259, 2.259, -5.862]], "species": ["K", "Zn", "Zn", "In", "In"], "fractional_positions": [[0.000, 0.000, 0.000], [0.394, 0.394, 0.000], [0.606, 0.606, 0.000], [0.250, 0.750, 0.500], [0.750, 0.250, 0.500]], "density_g_cm3": 5.5, "sg": "I4/mmm, No. 139", "e_above_lowest_polymorph_mev_per_atom": 0, "ef_ev_per_atom": -0.11, "dos_ef_per_ev_fu": 2.2}


Entry 6:
{"formula": "LiTe2Au", "functional": "SCAN", "state": "PBEsol geometry", "lattice": [[-2.002, 2.273, 5.746], [2.002, -2.273, 5.746], [2.002, 2.273, -5.746]], "species": ["Li", "Te", "Te", "Au"], "fractional_positions": [[0.000, 0.000, 0.000], [0.344, 0.844, 0.500], [0.656, 0.156, 0.500], [0.500, 0.500, 0.000]], "density_g_cm3": 7.3, "sg": "Immm, No. 71", "formation_energy_uncorrected_ev_per_atom": -0.466, "dos_ef_per_ev_fu": 0.5}


Entry 7:
{"formula": "YCd3N", "functional": "SCAN", "state": "PBEsol geometry", "lattice": [[4.673, 0.000, 0.000], [0.000, 4.673, 0.000], [0.000, 0.000, 4.673]], "species": ["Y", "Cd", "Cd", "Cd", "N"], "fractional_positions": [[0.000, 0.000, 0.000], [0.000, 0.500, 0.500], [0.500, 0.000, 0.500], [0.500, 0.500, 0.000], [0.500, 0.500, 0.500]], "density_g_cm3": 7.2, "sg": "Pm-3m, No. 221", "formation_energy_uncorrected_ev_per_atom": 0.412, "dos_ef_per_ev_fu": 2.5}


Entry 8:
{"formula": "NdClO", "functional": "SCAN", "state": "PBEsol geometry", "lattice": [[4.010, 0.000, 0.000], [0.000, 4.010, 0.000], [0.000, 0.000, 6.709]], "species": ["Nd", "Nd", "Cl", "Cl", "O", "O"], "fractional_positions": [[0.250, 0.250, 0.176], [0.750, 0.750, 0.824], [0.250, 0.250, 0.627], [0.750, 0.750, 0.373], [0.250, 0.750, 0.000], [0.750, 0.250, 0.000]], "density_g_cm3": 6.0, "sg": "P4/nmm, No. 129", "formation_energy_uncorrected_ev_per_atom": -3.397, "dos_ef_per_ev_fu": 0.0}


Entry 9:
{"formula": "Zn2GaSiF", "functional": "SCAN", "state": "PBEsol geometry", "lattice": [[4.613, 0.000, 0.000], [0.000, 4.613, 0.000], [0.000, 0.000, 4.893]], "species": ["Zn", "Zn", "Ga", "Si", "F"], "fractional_positions": [[0.000, 0.500, 0.000], [0.500, 0.000, 0.000], [0.000, 0.000, 0.500], [0.000, 0.000, 0.000], [0.500, 0.500, 0.500]], "density_g_cm3": 3.9, "sg": "P4/mmm, No. 123", "formation_energy_uncorrected_ev_per_atom": 0.019, "dos_ef_per_ev_fu": 1.9}


Entry 10:
{"formula": "CuRuI3", "functional": "SCAN", "state": "PBEsol geometry", "lattice": [[5.246, 0.000, 0.000], [0.000, 5.246, 0.000], [0.000, 0.000, 5.246]], "species": ["Cu", "Ru", "I", "I", "I"], "fractional_positions": [[0.000, 0.000, 0.000], [0.500, 0.500, 0.500], [0.000, 0.000, 0.500], [0.000, 0.500, 0.000], [0.500, 0.000, 0.000]], "density_g_cm3": 6.3, "sg": "Pm-3m, No. 221", "formation_energy_uncorrected_ev_per_atom": 0.905, "dos_ef_per_ev_fu": 3.4}


Entry 11:
{"formula": "CaPH3O4", "functional": "SCAN", "state": "PBEsol geometry", "lattice": [[7.568, 0.000, 0.000], [0.000, 6.702, 0.000], [-2.691, 0.000, 7.373]], "species": ["Ca", "Ca", "Ca", "Ca", "P", "P", "P", "P", "H", "H", "H", "H", "H", "H", "H", "H", "H", "H", "H", "H", "O", "O", "O", "O", "O", "O", "O", "O", "O", "O", "O", "O", "O", "O", "O", "O"], "fractional_positions": [[0.112, 0.130, 0.352], [0.112, 0.370, 0.852], [0.888, 0.630, 0.148], [0.888, 0.870, 0.648], [0.227, 0.639, 0.511], [0.227, 0.861, 0.011], [0.773, 0.139, 0.989], [0.773, 0.361, 0.489], [0.307, 0.053, 0.723], [0.307, 0.447, 0.223], [0.393, 0.733, 0.509], [0.393, 0.767, 0.009], [0.499, 0.082, 0.682], [0.499, 0.418, 0.182], [0.501, 0.582, 0.818], [0.501, 0.918, 0.318], [0.607, 0.233, 0.991], [0.607, 0.267, 0.491], [0.693, 0.553, 0.777], [0.693, 0.947, 0.277], [0.065, 0.707, 0.956], [0.065, 0.793, 0.456], [0.178, 0.023, 0.861], [0.178, 0.477, 0.361], [0.269, 0.558, 0.703], [0.269, 0.942, 0.203], [0.359, 0.096, 0.628], [0.359, 0.404, 0.128], [0.641, 0.596, 0.872], [0.641, 0.904, 0.372], [0.731, 0.058, 0.797], [0.731, 0.442, 0.297], [0.822, 0.523, 0.639], [0.822, 0.977, 0.139], [0.935, 0.207, 0.544], [0.935, 0.293, 0.044]], "density_g_cm3": 2.5, "sg": "P2_1/c, No. 14", "dos_ef_per_ev_fu": 0.0}


Entry 12:
{"formula": "TiCo3H", "functional": "SCAN", "state": "PBEsol geometry", "lattice": [[4.205, 0.000, 0.000], [0.000, 4.205, 0.000], [0.000, 0.000, 4.205]], "species": ["Ti", "Co", "Co", "Co", "H"], "fractional_positions": [[0.000, 0.000, 0.000], [0.000, 0.000, 0.500], [0.000, 0.500, 0.000], [0.500, 0.000, 0.000], [0.500, 0.500, 0.500]], "density_g_cm3": 5.0, "sg": "Pm-3m, No. 221", "e_above_lowest_polymorph_mev_per_atom": 2057, "dos_ef_per_ev_fu": 2.0}


In the order shown, the computed raw total energy values come out to -27.54, -40.29, -19.81, -47.53, -20.53, -36.98, -25.26, -22.66, -11.37, -31.15, -8.19, -12.40 eV per atom.